First-principles (PBE-GGA) data for KCaHoF6 after structural relaxation, as listed in Alexandria.

a = 6.1127 Å, b = 6.1127 Å, c = 10.5095 Å
α = 90.00°, β = 90.00°, γ = 120.00°
Closest atoms and distances in Å follow each position.
Element x y z (fractional)
K (0.0000, 0.0000, 0.0000)  6 F 2.72
K (0.0000, 0.0000, 0.5000)  6 F 2.72
Ca (0.3333, 0.6667, 0.2500)  6 F 2.29
Ca (0.6667, 0.3333, 0.7500)  6 F 2.29
Ho (0.3333, 0.6667, 0.7500)  6 F 2.19
Ho (0.6667, 0.3333, 0.2500)  6 F 2.19
F (0.0120, 0.3777, 0.6428)  1 Ho 2.19, 1 Ca 2.29
F (0.0120, 0.6343, 0.8572)  1 Ho 2.19, 1 Ca 2.29
F (0.3657, 0.3777, 0.8572)  1 Ho 2.19, 1 Ca 2.29
F (0.3657, 0.9880, 0.6428)  1 Ho 2.19, 1 Ca 2.29
F (0.3777, 0.0120, 0.1428)  1 Ho 2.19, 1 Ca 2.29
F (0.3777, 0.3657, 0.3572)  1 Ho 2.19, 1 Ca 2.29
F (0.6223, 0.6343, 0.6428)  1 Ho 2.19, 1 Ca 2.29
F (0.6223, 0.9880, 0.8572)  1 Ho 2.19, 1 Ca 2.29
F (0.6343, 0.0120, 0.3572)  1 Ho 2.19, 1 Ca 2.29
F (0.6343, 0.6223, 0.1428)  1 Ho 2.19, 1 Ca 2.29
F (0.9880, 0.3657, 0.1428)  1 Ho 2.19, 1 Ca 2.29
F (0.9880, 0.6223, 0.3572)  1 Ho 2.19, 1 Ca 2.29

The calculation puts the calculated volume at 18.9 Å³ per atom. Its space-group type is P-31c (163). The calculation puts the spin magnetization at 0.3 μB/cell. As for the density of states at the Fermi level: 0.000 states/eV/cell. The energy relative to the elements, uncorrected comes out at -3754 meV per atom.